Entry 1:
Density functional theory data (PBE) for an optimized crystal structure of Cd2FeMo.

- SG = P4/mmm (123)
- offset from the most stable computed form (meV/atom) = 269

a = 3.9910 Å, b = 3.9874 Å, c = 4.2995 Å
α = 90.00°, β = 90.00°, γ = 90.00°
Last column: nearest neighbours and their distance in Å.
Element x y z (fractional)
Fe (0.5000, 0.0000, 0.5000)  4 Mo 2.82, 8 Cd 2.93
Cd (0.5000, 0.5000, 0.0000)  4 Cd 2.82, 4 Fe 2.93, 4 Mo 2.93
Cd (0.0000, 0.0000, 0.0000)  4 Cd 2.82, 4 Mo 2.93, 4 Fe 2.93
Mo (0.0000, 0.5000, 0.5000)  4 Fe 2.82, 8 Cd 2.93

Entry 2:
Density functional theory data (PBE) for an optimized crystal structure of Cd2FeMo.

- SG = C2/m (12)
- offset from the most stable computed form (meV/atom) = 308

a = 5.1071 Å, b = 5.1071 Å, c = 5.1473 Å
α = 80.74°, β = 80.74°, γ = 31.22°
Last column: nearest neighbours and their distance in Å.
Element x y z (fractional)
Cd (0.5058, 0.5058, 0.4958)  6 Cd 2.75-2.94, 3 Fe 2.87-3.00, 3 Mo 2.92-2.97
Cd (0.9942, 0.9942, 0.0042)  6 Cd 2.75-2.94, 3 Fe 2.87-3.00, 3 Mo 2.92-2.97
Fe (0.2500, 0.2500, 0.2500)  2 Fe 2.75, 6 Cd 2.87-3.00, 4 Mo 2.92
Mo (0.7500, 0.7500, 0.7500)  2 Mo 2.75, 4 Fe 2.92, 6 Cd 2.92-2.97

Entry 3:
Density functional theory data (PBE) for an optimized crystal structure of CdFe2Mo.

- SG = Cmm2 (35)

a = 2.6826 Å, b = 2.6826 Å, c = 8.5934 Å
α = 90.00°, β = 90.00°, γ = 106.05°
Last column: nearest neighbours and their distance in Å.
Element x y z (fractional)
Fe (0.0000, 0.0000, 0.0284)  6 Fe 2.41-2.68
Fe (0.5000, 0.5000, 0.2374)  6 Fe 2.41-2.68, 2 Mo 2.58
Mo (0.0000, 0.0000, 0.4712)  2 Fe 2.58, 4 Mo 2.68
Cd (0.5000, 0.5000, 0.7630)  4 Cd 2.68, 2 Fe 2.79, 2 Mo 2.98

Entry 4:
Density functional theory data (PBE) for an optimized crystal structure of CdFe4Mo.

- SG = F-43m (216)

a = 4.8163 Å, b = 4.8163 Å, c = 4.8163 Å
α = 60.00°, β = 60.00°, γ = 60.00°
Last column: nearest neighbours and their distance in Å.
Element x y z (fractional)
Cd (0.0000, 0.0000, 0.0000)  12 Fe 2.83, 4 Mo 2.95
Fe (0.3757, 0.3757, 0.8729)  6 Fe 2.39-2.42
Fe (0.3757, 0.8729, 0.3757)  6 Fe 2.39-2.42
Fe (0.3757, 0.3757, 0.3757)  6 Fe 2.39-2.42
Fe (0.8729, 0.3757, 0.3757)  6 Fe 2.39-2.42
Mo (0.7500, 0.7500, 0.7500)  12 Fe 2.82, 4 Cd 2.95

no.,calculated formation energy (kcal/mol of atoms)
1,11.3
2,12.2
3,6.6
4,3.6